1.
# La3Fe

A relaxed La3Fe crystal (GGA-PBEsol, Alexandria via LeMat-Bulk).

Unit cell a=3.5270 b=3.5270 c=8.7390 alpha=90.00 beta=90.00 gamma=90.00
Closest atoms and distances in Å follow each position.
Atoms (fractional coordinates):
La (0.5000, 0.5000, 0.8097)  4 Fe 3.00, 1 La 3.33
La (0.0000, 0.0000, 0.5000)  12 La 3.53-3.68
La (0.5000, 0.5000, 0.1903)  4 Fe 3.00, 1 La 3.33
Fe (0.0000, 0.0000, 0.0000)  8 La 3.00

Symmetry ... P4/mmm (123)
N(E_F) ... 1.615 states/eV per atom
ΔE_f ... 0.1867 eV/atom

***

2.
# La2Fe3

A relaxed La2Fe3 crystal (GGA-PBEsol, Alexandria via LeMat-Bulk).

Unit cell a=4.0472 b=4.0472 c=7.7712 alpha=90.00 beta=90.00 gamma=120.00
Closest atoms and distances in Å follow each position.
Atoms (fractional coordinates):
Fe (0.6667, 0.3333, 0.9541)  6 Fe 2.36-2.44, 1 La 2.56
Fe (0.3333, 0.6667, 0.0459)  6 Fe 2.36-2.44, 1 La 2.56
Fe (0.0000, 0.0000, 0.0000)  6 Fe 2.36
La (0.6667, 0.3333, 0.2830)  1 Fe 2.56
La (0.3333, 0.6667, 0.7170)  1 Fe 2.56

Symmetry ... P-3m1 (164)
N(E_F) ... 0.945 states/eV per atom
ΔE_f ... 0.0780 eV/atom

***

3.
# La2Fe

A relaxed La2Fe crystal (GGA-PBEsol, Alexandria via LeMat-Bulk).

Unit cell a=3.9248 b=3.9248 c=6.2211 alpha=90.00 beta=90.00 gamma=120.00
Closest atoms and distances in Å follow each position.
Atoms (fractional coordinates):
La (0.6667, 0.3333, 0.7659)  3 Fe 2.69
La (0.3333, 0.6667, 0.2341)  3 Fe 2.69
Fe (0.0000, 0.0000, 0.0000)  6 La 2.69

Symmetry ... P-3m1 (164)
N(E_F) ... 0.436 states/eV per atom
ΔE_f ... 0.1857 eV/atom

***

4.
# La3Fe2

A relaxed La3Fe2 crystal (GGA-PBEsol, Alexandria via LeMat-Bulk).

Unit cell a=4.3798 b=4.3798 c=6.8150 alpha=90.00 beta=90.00 gamma=120.00
Closest atoms and distances in Å follow each position.
Atoms (fractional coordinates):
La (0.3333, 0.6667, 0.3451)  4 Fe 2.98-3.14, 3 La 3.29
La (0.0000, 0.0000, 0.0000)  6 Fe 2.65
La (0.6667, 0.3333, 0.6549)  4 Fe 2.98-3.14, 3 La 3.29
Fe (0.6667, 0.3333, 0.1150)  3 La 2.65
Fe (0.3333, 0.6667, 0.8850)  3 La 2.65

Symmetry ... P-3m1 (164)
N(E_F) ... 1.071 states/eV per atom
ΔE_f ... 0.2590 eV/atom

***

5.
# LaFe

A relaxed LaFe crystal (GGA-PBEsol, Alexandria via LeMat-Bulk).

Unit cell a=3.5105 b=3.5105 c=4.0925 alpha=90.00 beta=90.00 gamma=120.00
Closest atoms and distances in Å follow each position.
Atoms (fractional coordinates):
La (0.6667, 0.3333, 0.5000)  6 Fe 2.88
Fe (0.0000, 0.0000, 0.0000)  6 La 2.88

Symmetry ... P-6m2 (187)
N(E_F) ... 1.437 states/eV per atom
ΔE_f ... 0.6915 eV/atom

***

6.
# Li2LaFe

A relaxed Li2LaFe crystal (GGA-PBEsol, Alexandria via LeMat-Bulk).

Unit cell a=3.0687 b=3.0687 c=7.9603 alpha=90.00 beta=90.00 gamma=90.00
Closest atoms and distances in Å follow each position.
Atoms (fractional coordinates):
La (0.5000, 0.5000, 0.5000)  4 La 3.07, 8 Li 3.33
Li (0.0000, 0.0000, 0.1827)  4 Fe 2.61, 1 Li 2.91
Li (0.0000, 0.0000, 0.8173)  4 Fe 2.61, 1 Li 2.91
Fe (0.5000, 0.5000, 0.0000)  8 Li 2.61

Symmetry ... P4/mmm (123)
N(E_F) ... 1.078 states/eV per atom
Offset from the most stable computed form ... 24.9 kJ/mol of atoms
ΔE_f ... 0.5042 eV/atom

***

7.
# LiLa3Fe

A relaxed LiLa3Fe crystal (GGA-PBEsol, Alexandria via LeMat-Bulk).

Unit cell a=5.2714 b=5.2714 c=5.2714 alpha=90.00 beta=90.00 gamma=90.00
Closest atoms and distances in Å follow each position.
Atoms (fractional coordinates):
La (0.0000, 0.0000, 0.5000)  2 Fe 2.64
La (0.0000, 0.5000, 0.0000)  2 Fe 2.64
La (0.5000, 0.0000, 0.0000)  2 Fe 2.64
Fe (0.0000, 0.0000, 0.0000)  6 La 2.64
Li (0.5000, 0.5000, 0.5000)  12 La 3.73

Symmetry ... Pm-3m (221)
N(E_F) ... 0.989 states/eV per atom
ΔE_f ... 0.0805 eV/atom

***

8.
# Li2LaFe

A relaxed Li2LaFe crystal (GGA-PBEsol, Alexandria via LeMat-Bulk).

Unit cell a=2.8986 b=2.8986 c=10.4186 alpha=90.00 beta=90.00 gamma=116.43
Closest atoms and distances in Å follow each position.
Atoms (fractional coordinates):
La (0.5000, 0.5000, 0.0000)  6 La 2.90-3.05
Fe (0.5000, 0.5000, 0.5000)  4 Li 2.64, 4 Fe 2.90
Li (0.0000, 0.0000, 0.7062)  2 Fe 2.64, 4 Li 2.90
Li (0.0000, 0.0000, 0.2938)  2 Fe 2.64, 4 Li 2.90

Symmetry ... Cmmm (65)
N(E_F) ... 1.199 states/eV per atom
Offset from the most stable computed form ... 29.3 kJ/mol of atoms
ΔE_f ... 0.5502 eV/atom

***

9.
# Li2LaFe

A relaxed Li2LaFe crystal (GGA-PBEsol, Alexandria via LeMat-Bulk).

Unit cell a=3.2754 b=4.3941 c=5.8582 alpha=112.03 beta=106.23 gamma=90.00
Closest atoms and distances in Å follow each position.
Atoms (fractional coordinates):
Li (0.2817, 0.2817, 0.5635)  2 Fe 2.79, 4 Li 2.82
Li (0.7183, 0.7183, 0.4365)  2 Fe 2.79, 4 Li 2.82
Fe (0.0000, 0.5000, 0.0000)  4 La 2.74, 4 Li 2.79
La (0.5000, 0.0000, 0.0000)  4 Fe 2.74

Symmetry ... Immm (71)
N(E_F) ... 0.740 states/eV per atom
Offset from the most stable computed form ... 0.0 kJ/mol of atoms
ΔE_f ... 0.2465 eV/atom

***

10.
# LiLa2Fe

A relaxed LiLa2Fe crystal (GGA-PBEsol, Alexandria via LeMat-Bulk).

Unit cell a=3.5355 b=3.5355 c=7.2453 alpha=90.00 beta=90.00 gamma=90.00
Closest atoms and distances in Å follow each position.
Atoms (fractional coordinates):
La (0.5000, 0.5000, 0.3447)  1 Fe 2.30
La (0.0000, 0.0000, 0.9307)  1 Li 2.66
Fe (0.5000, 0.5000, 0.6616)  1 La 2.30
Li (0.0000, 0.0000, 0.5630)  4 Fe 2.60, 1 La 2.66

Symmetry ... P4mm (99)
N(E_F) ... 1.055 states/eV per atom
ΔE_f ... 0.3277 eV/atom

***

11.
# LiLa2FeO6

A relaxed LiLa2FeO6 crystal (GGA-PBEsol, Alexandria via LeMat-Bulk).

Unit cell a=5.3245 b=5.3245 c=5.3245 alpha=61.11 beta=61.11 gamma=61.11
Closest atoms and distances in Å follow each position.
Atoms (fractional coordinates):
O (0.1886, 0.7645, 0.2897)  1 Fe 1.84, 1 Li 2.00
O (0.2897, 0.1886, 0.7645)  1 Fe 1.84, 1 Li 2.00
O (0.7645, 0.2897, 0.1886)  1 Fe 1.84, 1 Li 2.00
O (0.2355, 0.7103, 0.8114)  1 Fe 1.84, 1 Li 2.00
O (0.8114, 0.2355, 0.7103)  1 Fe 1.84, 1 Li 2.00
O (0.7103, 0.8114, 0.2355)  1 Fe 1.84, 1 Li 2.00
La (0.7497, 0.7497, 0.7497)  9 O 2.43-2.70
La (0.2503, 0.2503, 0.2503)  9 O 2.43-2.70
Li (0.5000, 0.5000, 0.5000)  6 O 2.00
Fe (0.0000, 0.0000, 0.0000)  6 O 1.84

ΔE_f (raw) ... -25.73 eV/f.u.
Symmetry ... R-3 (148)

***

12.
# Li2LaFeS

A relaxed Li2LaFeS crystal (GGA-PBEsol, Alexandria via LeMat-Bulk).

Unit cell a=4.1133 b=4.4807 c=4.4807 alpha=90.00 beta=90.00 gamma=90.00
Closest atoms and distances in Å follow each position.
Atoms (fractional coordinates):
Fe (0.0000, 0.0000, 0.0000)  2 S 2.06, 4 Li 2.24
La (0.5000, 0.5000, 0.5000)  8 Li 3.04, 4 S 3.17
S (0.5000, 0.0000, 0.0000)  2 Fe 2.06
Li (0.0000, 0.5000, 0.0000)  2 Fe 2.24
Li (0.0000, 0.0000, 0.5000)  2 Fe 2.24

ΔE_f (raw) ... -1.43 eV/f.u.
Symmetry ... P4/mmm (123)
N(E_F) ... 0.489 states/eV per atom

***

13.
# La3MgFe

A relaxed La3MgFe crystal (GGA-PBEsol, Alexandria via LeMat-Bulk).

Unit cell a=5.2517 b=5.2517 c=5.2517 alpha=90.00 beta=90.00 gamma=90.00
Closest atoms and distances in Å follow each position.
Atoms (fractional coordinates):
La (0.5000, 0.0000, 0.0000)  2 Fe 2.63
La (0.0000, 0.0000, 0.5000)  2 Fe 2.63
La (0.0000, 0.5000, 0.0000)  2 Fe 2.63
Fe (0.0000, 0.0000, 0.0000)  6 La 2.63
Mg (0.5000, 0.5000, 0.5000)  12 La 3.71

Symmetry ... Pm-3m (221)
N(E_F) ... 1.130 states/eV per atom
ΔE_f ... -0.0045 eV/atom

***

Here are the calculated M_tot numbers, same order: 0.40; 0.77; 0.00; 0.24; 0.83; 0.67; 0.00; 0.69; 0.30; 0.20; 0.31; 0.00; 0.00 (μB/atom).